1.
Density functional theory data (PBE) for ZrMnSiPb2 after structural relaxation.

## Properties
Magnetic moment (μB/f.u.): 0.19
Total energy (eV/f.u.): -24.2
Uncorrected formation energy (meV per atom): 1273
Calculated volume (Å³ per atom): 27.4
Symmetry: P4/mmm (123)
Theoretical density (g/cm3): 7.13

Unit cell a=5.213 b=5.213 c=5.043 alpha=90.00 beta=90.00 gamma=90.00
Positions (direct):
Zr 0.000 0.000 0.000
Mn 0.500 0.500 0.000
Si 0.000 0.000 0.500
Pb 0.000 0.500 0.500
Pb 0.500 0.000 0.500

=====

2.
Density functional theory data (PBE) for MnSn2Pb after structural relaxation.

## Properties
Magnetic moment (μB/f.u.): 4.06
Total energy (eV/f.u.): -19.6
Calculated volume (Å³ per atom): 26.0
Symmetry: I-42d (122)
Formation enthalpy at 0 K (eV per atom): 0.32
Theoretical density (g/cm3): 7.98

Unit cell a=4.314 b=4.314 c=22.337 alpha=90.00 beta=90.00 gamma=90.00
Positions (direct):
Mn 0.000 0.000 0.000
Mn 0.000 0.500 0.250
Mn 0.500 0.000 0.750
Mn 0.500 0.500 0.500
Sn 0.240 0.250 0.125
Sn 0.250 0.740 0.375
Sn 0.250 0.760 0.875
Sn 0.260 0.250 0.625
Sn 0.740 0.750 0.625
Sn 0.750 0.240 0.875
Sn 0.750 0.260 0.375
Sn 0.760 0.750 0.125
Pb 0.000 0.000 0.500
Pb 0.000 0.500 0.750
Pb 0.500 0.000 0.250
Pb 0.500 0.500 0.000

=====

3.
Density functional theory data (PBE) for MnSn2Pb after structural relaxation.

## Properties
Magnetic moment (μB/f.u.): 3.17
Total energy (eV/f.u.): -20.3
Calculated volume (Å³ per atom): 24.0
Symmetry: P4/mmm (123)
Formation enthalpy at 0 K (eV per atom): 0.15
Theoretical density (g/cm3): 8.65

Unit cell a=3.300 b=3.300 c=8.805 alpha=90.00 beta=90.00 gamma=90.00
Positions (direct):
Mn 0.000 0.000 0.000
Sn 0.500 0.500 0.198
Sn 0.500 0.500 0.802
Pb 0.000 0.000 0.500

=====

4.
Density functional theory data (PBE) for MnSn2Pb after structural relaxation.

## Properties
Magnetic moment (μB/f.u.): 3.43
Total energy (eV/f.u.): -20.1
Calculated volume (Å³ per atom): 25.2
Symmetry: R-3m (166)
Formation enthalpy at 0 K (eV per atom): 0.19
Theoretical density (g/cm3): 8.23

Unit cell a=3.314 b=3.314 c=31.788 alpha=90.00 beta=90.00 gamma=120.00
Positions (direct):
Mn 0.000 0.000 0.000
Mn 0.333 0.667 0.667
Mn 0.667 0.333 0.333
Sn 0.000 0.000 0.399
Sn 0.000 0.000 0.601
Sn 0.333 0.667 0.066
Sn 0.333 0.667 0.267
Sn 0.667 0.333 0.733
Sn 0.667 0.333 0.934
Pb 0.000 0.000 0.500
Pb 0.333 0.667 0.167
Pb 0.667 0.333 0.833